Entry 1:
VASP calculation (PBE) on an optimized crystal structure of LiThSi2.

a = 4.2593 Å, b = 4.3248 Å, c = 4.3248 Å
α = 90.00°, β = 90.00°, γ = 90.00°
Sites, in units of the cell vectors:
Th1 0.5000 0.0000 0.0000
Li1 0.5000 0.5000 0.5000
Si1 0.0000 0.0000 0.5000
Si2 0.0000 0.5000 0.0000

Output
crystal system = tetragonal
distance to the lowest polymorph of the same formula = 243 meV/atom
D(E_F) = 0.466 states/eV per atom
ΔE_f (raw) = -0.3065 eV per atom
space group = No. 123

=====

Entry 2:
VASP calculation (PBE) on an optimized crystal structure of PmAgBi2.

a = 4.4448 Å, b = 4.9708 Å, c = 4.9708 Å
α = 90.00°, β = 90.00°, γ = 90.00°
Sites, in units of the cell vectors:
Bi1 0.0000 0.0000 0.5000
Bi2 0.0000 0.5000 0.0000
Ag1 0.5000 0.0000 0.0000
Pm1 0.5000 0.5000 0.5000

Output
crystal system = tetragonal
energy relative to the elements = -41 kJ/mol of atoms
distance to the lowest polymorph of the same formula = 91 meV/atom
D(E_F) = 0.633 states/eV per atom
space group = No. 123